# 1
PBE CePaSnAu, optimized geometry; energy relative to the elements = -0.26 eV per atom; energy = -5.938 eV per atom; M_tot = 3.66 μB/cell
1.0
5.304 0.000 0.000
2.652 4.593 0.000
2.652 1.531 4.331
Pa Au Sn Ce
1 1 1 1
direct
0.000 0.000 0.000 Pa
0.750 0.750 0.750 Au
0.250 0.250 0.250 Sn
0.500 0.500 0.500 Ce



# 2
PBE CePaTcAu, optimized geometry; energy relative to the elements = -0.16 eV per atom; energy = -7.425 eV per atom; M_tot = 0.01 μB/cell
1.0
5.001 0.000 0.000
2.501 4.331 0.000
2.501 1.444 4.083
Ce Au Pa Tc
1 1 1 1
direct
0.250 0.250 0.250 Ce
0.000 0.000 0.000 Au
0.750 0.750 0.750 Pa
0.500 0.500 0.500 Tc



# 3
PBE CeThPaAu, optimized geometry; energy relative to the elements = 0.02 eV per atom; energy = -6.516 eV per atom; M_tot = 1.40 μB/cell
1.0
5.246 0.000 0.000
2.623 4.543 0.000
2.623 1.514 4.284
Pa Th Ce Au
1 1 1 1
direct
0.500 0.500 0.500 Pa
0.750 0.750 0.750 Th
0.250 0.250 0.250 Ce
0.000 0.000 0.000 Au